Run one
The following is a PBE-GGA calculation of an optimized crystal structure of Bi2SeO5, from Alexandria.

abc: 11.6150 8.7743 8.7743
angles: 143.03 90.00 90.00
Positions (direct):
Bi 0.1092 0.0847 0.9153
Bi 0.1092 0.4153 0.5847
Bi 0.1145 0.7840 0.2840
Bi 0.3701 0.2584 0.7584
Bi 0.6299 0.7584 0.2584
Bi 0.8855 0.2840 0.7840
Bi 0.8908 0.5847 0.4153
Bi 0.8908 0.9153 0.0847
Se 0.3569 0.5904 0.4111
Se 0.3569 0.9111 0.0904
Se 0.6431 0.0904 0.9111
Se 0.6431 0.4111 0.5904
O 0.0000 0.2799 0.2799
O 0.0000 0.7799 0.7799
O 0.0081 0.0744 0.3988
O 0.0081 0.8988 0.5744
O 0.1984 0.1494 0.6494
O 0.2364 0.0882 0.1917
O 0.2364 0.6917 0.5882
O 0.2901 0.4601 0.1455
O 0.2901 0.6455 0.9601
O 0.4202 0.0639 0.3665
O 0.4202 0.8665 0.5639
O 0.5798 0.3665 0.0639
O 0.5798 0.5639 0.8665
O 0.7099 0.1455 0.4601
O 0.7099 0.9601 0.6455
O 0.7636 0.1917 0.0882
O 0.7636 0.5882 0.6917
O 0.8016 0.6494 0.1494
O 0.9919 0.3988 0.0744
O 0.9919 0.5744 0.8988

Run two
The following is a PBE-GGA calculation of an optimized crystal structure of Bi2SeO5, from Alexandria.

abc: 11.0489 7.2867 6.7163
angles: 90.00 103.40 90.00
Positions (direct):
Bi 0.0200 0.1036 0.2594
Bi 0.0200 0.3964 0.7594
Bi 0.3397 0.0810 0.0582
Bi 0.3397 0.4190 0.5582
Bi 0.6603 0.5810 0.4418
Bi 0.6603 0.9190 0.9418
Bi 0.9800 0.6036 0.2406
Bi 0.9800 0.8964 0.7406
Se 0.2943 0.5916 0.0960
Se 0.2943 0.9084 0.5960
Se 0.7057 0.0916 0.4040
Se 0.7057 0.4084 0.9040
O 0.0570 0.6801 0.9782
O 0.0570 0.8199 0.4782
O 0.1470 0.0768 0.9021
O 0.1470 0.4232 0.4021
O 0.2745 0.0502 0.3804
O 0.2745 0.4498 0.8804
O 0.3737 0.7260 0.5180
O 0.3737 0.7740 0.0180
O 0.4103 0.0470 0.7541
O 0.4103 0.4530 0.2541
O 0.5897 0.5470 0.7459
O 0.5897 0.9530 0.2459
O 0.6263 0.2260 0.9820
O 0.6263 0.2740 0.4820
O 0.7255 0.5502 0.1196
O 0.7255 0.9498 0.6196
O 0.8530 0.5768 0.5979
O 0.8530 0.9232 0.0979
O 0.9430 0.1801 0.5218
O 0.9430 0.3199 0.0218

Of them, the most stable is run one and the least stable is run two.

Run one
The following is a PBE-GGA calculation of an optimized crystal structure of Si6Bi9O26, from Alexandria.

abc: 9.7245 9.7245 7.1064
angles: 90.00 90.00 120.00
Positions (direct):
Si 0.0240 0.6298 0.0000
Si 0.3702 0.3942 0.0000
Si 0.4031 0.0272 0.4832
Si 0.6058 0.9760 0.0000
Si 0.6240 0.5969 0.4832
Si 0.9728 0.3760 0.4832
Bi 0.0046 0.2393 0.9918
Bi 0.2346 0.9954 0.9918
Bi 0.2457 0.2251 0.4944
Bi 0.3333 0.6667 0.2427
Bi 0.3333 0.6667 0.7316
Bi 0.6667 0.3333 0.2128
Bi 0.7607 0.7654 0.9918
Bi 0.7749 0.0206 0.4944
Bi 0.9794 0.7543 0.4944
O 0.0000 0.0000 0.5034
O 0.0000 0.0000 0.9965
O 0.0907 0.7447 0.8103
O 0.1007 0.7607 0.1749
O 0.1183 0.5271 0.0047
O 0.1651 0.5053 0.4968
O 0.2393 0.3400 0.1749
O 0.2553 0.3460 0.8103
O 0.3165 0.0724 0.3107
O 0.3367 0.0840 0.6636
O 0.3402 0.8349 0.4968
O 0.4089 0.8817 0.0047
O 0.4729 0.3047 0.0090
O 0.4729 0.5911 0.0047
O 0.4947 0.6598 0.4968
O 0.5252 0.4060 0.4389
O 0.5940 0.1192 0.4389
O 0.6540 0.9093 0.8103
O 0.6600 0.8993 0.1749
O 0.6953 0.1682 0.0090
O 0.7473 0.6633 0.6636
O 0.7559 0.6835 0.3107
O 0.8318 0.5271 0.0090
O 0.8808 0.4748 0.4389
O 0.9160 0.2527 0.6636
O 0.9276 0.2441 0.3107

Run two
The following is a PBE-GGA calculation of an optimized crystal structure of Si6Bi9O26, from Alexandria.

abc: 9.7562 9.7562 14.1265
angles: 90.00 90.00 120.00
Positions (direct):
Si 0.0222 0.6260 0.3748
Si 0.0238 0.6263 0.8731
Si 0.3740 0.3962 0.3748
Si 0.3737 0.3976 0.8731
Si 0.3962 0.0222 0.6252
Si 0.3976 0.0238 0.1269
Si 0.6024 0.9762 0.8731
Si 0.6038 0.9778 0.3748
Si 0.6263 0.6024 0.1269
Si 0.6260 0.6038 0.6252
Si 0.9762 0.3737 0.1269
Si 0.9778 0.3740 0.6252
Bi 0.0102 0.2452 0.3736
Bi 0.0146 0.2405 0.8736
Bi 0.2259 0.9854 0.8736
Bi 0.2350 0.9898 0.3736
Bi 0.2405 0.2259 0.1264
Bi 0.2452 0.2350 0.6264
Bi 0.3333 0.6667 0.2401
Bi 0.3333 0.6667 0.5287
Bi 0.3333 0.6667 0.9795
Bi 0.6667 0.3333 0.0205
Bi 0.6667 0.3333 0.4713
Bi 0.6667 0.3333 0.7599
Bi 0.7548 0.7650 0.3736
Bi 0.7595 0.7741 0.8736
Bi 0.7650 0.0102 0.6264
Bi 0.7741 0.0146 0.1264
Bi 0.9854 0.7595 0.1264
Bi 0.9898 0.7548 0.6264
O 0.0000 0.0000 0.1218
O 0.0000 0.0000 0.3740
O 0.0000 0.0000 0.6260
O 0.0000 0.0000 0.8782
O 0.0743 0.7568 0.7860
O 0.0876 0.7533 0.2851
O 0.0880 0.7527 0.9640
O 0.0950 0.7498 0.4661
O 0.1094 0.5192 0.3677
O 0.1206 0.5287 0.8810
O 0.1667 0.4973 0.1269
O 0.1699 0.4772 0.6230
O 0.2432 0.3175 0.7860
O 0.2467 0.3343 0.2851
O 0.2473 0.3353 0.9640
O 0.2502 0.3452 0.4661
O 0.3072 0.8301 0.6230
O 0.3175 0.0743 0.2140
O 0.3306 0.8333 0.1269
O 0.3343 0.0876 0.7149
O 0.3353 0.0880 0.0360
O 0.3452 0.0950 0.5339
O 0.4080 0.8794 0.8810
O 0.4098 0.8906 0.3677
O 0.4713 0.5920 0.8810
O 0.4772 0.3072 0.3770
O 0.4808 0.5902 0.3677
O 0.4973 0.3306 0.8731
O 0.5027 0.6694 0.1269
O 0.5192 0.4098 0.6323
O 0.5228 0.6928 0.6230
O 0.5287 0.4080 0.1190
O 0.5902 0.1094 0.6323
O 0.5920 0.1206 0.1190
O 0.6548 0.9050 0.4661
O 0.6647 0.9120 0.9640
O 0.6657 0.9124 0.2851
O 0.6694 0.1667 0.8731
O 0.6825 0.9257 0.7860
O 0.6928 0.1699 0.3770
O 0.7498 0.6548 0.5339
O 0.7527 0.6647 0.0360
O 0.7533 0.6657 0.7149
O 0.7568 0.6825 0.2140
O 0.8301 0.5228 0.3770
O 0.8333 0.5027 0.8731
O 0.8794 0.4713 0.1190
O 0.8906 0.4808 0.6323
O 0.9050 0.2502 0.5339
O 0.9120 0.2473 0.0360
O 0.9124 0.2467 0.7149
O 0.9257 0.2432 0.2140

Of them, the most stable is run two and the least stable is run one.

Run one
The following is a PBE-GGA calculation of an optimized crystal structure of Si3BiO, from Alexandria.

abc: 5.4426 5.4426 5.4426
angles: 90.00 90.00 90.00
Positions (direct):
Si 0.0000 0.0000 0.5000
Si 0.0000 0.5000 0.0000
Si 0.5000 0.0000 0.0000
Bi 0.0000 0.0000 0.0000
O 0.5000 0.5000 0.5000

Run two
The following is a PBE-GGA calculation of an optimized crystal structure of Si3BiO, from Alexandria.

abc: 4.4629 4.4629 4.4629
angles: 90.00 90.00 90.00
Positions (direct):
Si 0.0000 0.0000 0.5000
Si 0.0000 0.5000 0.0000
Si 0.5000 0.0000 0.0000
Bi 0.5000 0.5000 0.5000
O 0.0000 0.0000 0.0000

Of them, the most stable is run two and the least stable is run one.